First-principles (PBE) data for a geometry-optimized PrGd2Se3 structure, as listed in OQMD.

Cell: 4.144 4.144 10.257 Å, 90.00 90.00 120.00°
Fractional positions:
Pr1 0.000 0.000 0.000
Gd1 0.333 0.667 0.664
Gd2 0.667 0.333 0.336
Se1 0.000 0.000 0.500
Se2 0.333 0.667 0.178
Se3 0.667 0.333 0.822

## Properties
The value obtained for the total energy is -5.902 eV/atom. As for the calculated volume: 25.4 A^3/atom. The value obtained for the total moment is 0.0 μB per formula unit. The space group is P-3m1.

First-principles (PBE) data for a geometry-optimized PrGd4Se2 structure, as listed in OQMD.

Cell: 7.209 7.209 7.209 Å, 103.33 103.33 122.62°
Fractional positions:
Pr1 0.000 0.000 0.000
Gd1 0.236 0.500 0.736
Gd2 0.500 0.236 0.736
Gd3 0.500 0.764 0.264
Gd4 0.764 0.500 0.264
Se1 0.250 0.750 0.500
Se2 0.750 0.250 0.500

## Properties
The value obtained for the total energy is -4.607 eV/atom. As for the calculated volume: 39.5 A^3/atom. The value obtained for the total moment is 0.0 μB per formula unit. The space group is I4/mmm.

First-principles (PBE) data for a geometry-optimized Pr3GdSi4 structure, as listed in OQMD.

Cell: 5.927 3.944 8.253 Å, 90.00 90.37 90.00°
Fractional positions:
Pr1 0.000 0.000 0.000
Pr2 0.228 0.500 0.360
Pr3 0.728 0.000 0.502
Gd1 0.499 0.500 0.860
Si1 0.240 0.000 0.649
Si2 0.492 0.000 0.139
Si3 0.734 0.500 0.212
Si4 0.994 0.500 0.718

## Properties
The value obtained for the total energy is -5.842 eV/atom. As for the calculated volume: 24.1 A^3/atom. The value obtained for the total moment is 0.0 μB per formula unit. The space group is Pm.

Copy entry 1 word for word.
First-principles (PBE) data for a geometry-optimized PrGd2Se3 structure, as listed in OQMD.

Cell: 4.144 4.144 10.257 Å, 90.00 90.00 120.00°
Fractional positions:
Pr1 0.000 0.000 0.000
Gd1 0.333 0.667 0.664
Gd2 0.667 0.333 0.336
Se1 0.000 0.000 0.500
Se2 0.333 0.667 0.178
Se3 0.667 0.333 0.822

## Properties
The value obtained for the total energy is -5.902 eV/atom. As for the calculated volume: 25.4 A^3/atom. The value obtained for the total moment is 0.0 μB per formula unit. The space group is P-3m1.